Record 1
Entry from the Alexandria database: an optimized crystal structure of PtPb2Se (PBE).

Cell: 8.1918 5.1975 3.5615 Å, 90.32 63.77 129.54°
With the nearest neighbours (Å) after each atom.
Sites, in units of the cell vectors:
Se1 0.5000 0.5000 0.0000  8 Pb 3.14-3.16
Pb1 0.0000 0.0000 0.0000  4 Se 3.14-3.16, 4 Pt 3.14-3.16
Pb2 0.5000 0.0000 0.5000  4 Pt 3.14-3.16, 4 Se 3.14-3.16
Pt1 0.0000 0.5000 0.5000  8 Pb 3.14-3.16

The density of states at the Fermi level comes out at 1.02 states/eV/f.u. As for the space group: No. 12. The total moment comes out at 0.0 μB per formula unit. The formation energy without anion corrections comes out at -80 meV per atom.


Record 2
Entry from the Alexandria database: an optimized crystal structure of PtPb2Se (PBE).

Cell: 4.1773 4.1818 5.9354 Å, 90.00 90.00 90.00°
With the nearest neighbours (Å) after each atom.
Sites, in units of the cell vectors:
Se1 0.5000 0.5000 0.8749  6 Pb 2.96-2.97
Pb1 0.5000 0.5000 0.3750  4 Pt 2.96, 2 Se 2.97
Pt1 0.0000 0.0000 0.3751  6 Pb 2.96-2.97
Pb2 0.0000 0.0000 0.8750  4 Se 2.96, 2 Pt 2.97

The density of states at the Fermi level comes out at 1.24 states/eV/f.u. As for the space group: No. 123. The total moment comes out at 0.0 μB per formula unit. The formation energy without anion corrections comes out at -238 meV per atom.


Record 3
Entry from the Alexandria database: an optimized crystal structure of PtPbSe2 (PBE).

Cell: 3.8363 3.8363 7.8069 Å, 75.78 75.78 60.00°
With the nearest neighbours (Å) after each atom.
Sites, in units of the cell vectors:
Pb1 0.4997 0.4997 0.5008  6 Se 3.27-3.29
Pt1 0.6658 0.6658 0.0025  6 Se 2.57-2.60
Se1 0.2749 0.2749 0.1754  3 Pt 2.57
Se2 0.0596 0.0596 0.8213  3 Pt 2.60

The density of states at the Fermi level comes out at 1.85 states/eV/f.u. As for the space group: No. 160. The total moment comes out at 0.0 μB per formula unit. The formation energy without anion corrections comes out at -260 meV per atom.


Record 4
Entry from the Alexandria database: an optimized crystal structure of PtPb2Se (PBE).

Cell: 6.1910 6.1910 6.1910 Å, 146.67 129.11 62.21°
With the nearest neighbours (Å) after each atom.
Sites, in units of the cell vectors:
Pb1 0.7052 0.2052 0.5000  2 Pt 2.90
Pb2 0.9941 0.9941 0.0000  4 Pt 3.20, 2 Se 3.29, 6 Pb 3.48-3.55
Pt1 0.4893 0.4893 0.0000  2 Se 2.59, 2 Pb 2.90
Se1 0.3114 0.8114 0.5000  2 Pt 2.59

The density of states at the Fermi level comes out at 2.79 states/eV/f.u. As for the space group: No. 44. The total moment comes out at 0.0 μB per formula unit. The formation energy without anion corrections comes out at -88 meV per atom.


Record 5
Entry from the Alexandria database: an optimized crystal structure of Pt2PbSe (PBE).

Cell: 5.6135 5.6135 5.6135 Å, 147.53 123.15 67.01°
With the nearest neighbours (Å) after each atom.
Sites, in units of the cell vectors:
Pb1 0.7500 0.2500 0.5000  4 Pt 2.96, 4 Se 3.10, 2 Pb 3.14
Se1 0.2500 0.7500 0.5000  4 Pt 2.68
Pt1 0.0182 0.0182 0.0000  2 Se 2.68, 2 Pb 2.96
Pt2 0.4818 0.4818 0.0000  2 Se 2.68, 2 Pb 2.96

The density of states at the Fermi level comes out at 2.35 states/eV/f.u. As for the space group: No. 71. The total moment comes out at 0.0 μB per formula unit. The formation energy without anion corrections comes out at 162 meV per atom.


Record 6
Entry from the Alexandria database: an optimized crystal structure of PtPbSe2 (PBE).

Cell: 4.0935 4.0935 7.6493 Å, 90.00 90.00 123.83°
With the nearest neighbours (Å) after each atom.
Sites, in units of the cell vectors:
Se1 0.0000 0.0000 0.5455  2 Pt 2.48
Pb1 0.5000 0.5000 0.2500  4 Se 2.97
Se2 0.0000 0.0000 0.9545  2 Pt 2.48
Pt1 0.5000 0.5000 0.7500  4 Se 2.48

The density of states at the Fermi level comes out at 3.03 states/eV/f.u. As for the space group: No. 65. The total moment comes out at 0.0 μB per formula unit. The formation energy without anion corrections comes out at -16 meV per atom.


Record 7
Entry from the Alexandria database: an optimized crystal structure of PtPbSe2 (PBE).

Cell: 6.1479 6.1479 7.6680 Å, 66.37 66.37 90.00°
With the nearest neighbours (Å) after each atom.
Sites, in units of the cell vectors:
Se1 0.8750 0.8089 0.7500  2 Pt 2.48
Pb1 0.0000 0.0000 0.0000  4 Se 2.94
Se2 0.3750 0.4411 0.7500  2 Pt 2.48
Pb2 0.7500 0.2500 0.5000  4 Se 2.94
Se3 0.1911 0.6250 0.2500  2 Pt 2.48
Pt1 0.2500 0.7500 0.5000  4 Se 2.48
Pt2 0.5000 0.5000 0.0000  4 Se 2.48
Se4 0.5589 0.1250 0.2500  2 Pt 2.48

The density of states at the Fermi level comes out at 3.22 states/eV/f.u. As for the space group: No. 122. The total moment comes out at 0.0 μB per formula unit. The formation energy without anion corrections comes out at -130 meV per atom.


Record 8
Entry from the Alexandria database: an optimized crystal structure of PtPbSe2 (PBE).

Cell: 3.3060 3.4250 7.6898 Å, 90.00 90.00 90.00°
With the nearest neighbours (Å) after each atom.
Sites, in units of the cell vectors:
Se1 0.0000 0.0000 0.5521  4 Pt 2.83, 1 Se 3.04
Se2 0.0000 0.0000 0.9479  4 Pt 2.83, 1 Se 3.04
Pt1 0.5000 0.5000 0.7500  8 Se 2.83
Pb1 0.5000 0.5000 0.2500  4 Pb 3.31-3.42, 8 Se 3.33

The density of states at the Fermi level comes out at 2.73 states/eV/f.u. As for the space group: No. 47. The total moment comes out at 0.0 μB per formula unit. The formation energy without anion corrections comes out at 162 meV per atom.


Record 9
Entry from the Alexandria database: an optimized crystal structure of TaPtPbSe2 (PBE).

Cell: 5.0021 5.0757 5.0021 Å, 90.00 90.00 90.00°
With the nearest neighbours (Å) after each atom.
Sites, in units of the cell vectors:
Se1 0.5000 0.0000 0.0000  2 Ta 2.50
Se2 0.0000 0.0000 0.5000  2 Ta 2.50
Pt1 0.0000 0.5000 0.0000  2 Ta 2.54
Pb1 0.5000 0.5000 0.5000  4 Pt 3.54, 8 Se 3.56
Ta1 0.0000 0.0000 0.0000  4 Se 2.50, 2 Pt 2.54

The density of states at the Fermi level comes out at 1.64 states/eV/f.u. As for the space group: No. 123. The total moment comes out at 0.0 μB per formula unit. The formation energy without anion corrections comes out at -99 meV per atom.


Record 10
Entry from the Alexandria database: an optimized crystal structure of Th4PtPbSe2 (PBE).

Cell: 4.2467 7.4139 7.7492 Å, 71.10 90.00 90.00°
With the nearest neighbours (Å) after each atom.
Sites, in units of the cell vectors:
Pt1 0.5000 0.5000 0.0000  6 Th 2.93-3.02
Pb1 0.0000 0.5000 0.5000  6 Th 3.14-3.15
Th1 0.0000 0.2667 0.2264  2 Pt 2.93, 3 Se 3.04-3.19, 1 Pb 3.14
Se1 0.0000 0.0000 0.0000  6 Th 2.97-3.04
Th2 0.5000 0.7583 0.2312  3 Se 2.97-3.16, 1 Pt 3.02, 2 Pb 3.15
Se2 0.5000 0.0000 0.5000  6 Th 3.16-3.19
Th3 0.5000 0.2417 0.7688  3 Se 2.97-3.16, 1 Pt 3.02, 2 Pb 3.15
Th4 0.0000 0.7333 0.7736  2 Pt 2.93, 3 Se 3.04-3.19, 1 Pb 3.14

The density of states at the Fermi level comes out at 6.02 states/eV/f.u. As for the space group: No. 10. The total moment comes out at 0.0 μB per formula unit. The formation energy without anion corrections comes out at -1082 meV per atom.


Record 11
Entry from the Alexandria database: an optimized crystal structure of Tm4PtPbSe2 (PBE).

Cell: 3.9753 7.6058 7.0154 Å, 72.09 90.00 90.00°
With the nearest neighbours (Å) after each atom.
Sites, in units of the cell vectors:
Tm1 0.5000 0.2607 0.7241  2 Pt 2.82, 3 Se 2.88-3.04, 1 Pb 3.04
Se1 0.5000 0.0000 0.5000  6 Tm 2.84-2.88
Tm2 0.5000 0.7393 0.2759  2 Pt 2.82, 3 Se 2.88-3.04, 1 Pb 3.04
Tm3 0.0000 0.2391 0.2700  3 Se 2.84-3.00, 1 Pt 2.92, 2 Pb 3.03
Pb1 0.5000 0.5000 0.0000  6 Tm 3.03-3.04
Se2 0.0000 0.0000 0.0000  6 Tm 3.00-3.04
Pt1 0.0000 0.5000 0.5000  6 Tm 2.82-2.92
Tm4 0.0000 0.7609 0.7300  3 Se 2.84-3.00, 1 Pt 2.92, 2 Pb 3.03

The density of states at the Fermi level comes out at 3.27 states/eV/f.u. As for the space group: No. 10. The total moment comes out at 0.0 μB per formula unit. The formation energy without anion corrections comes out at -1223 meV per atom.


Record 12
Entry from the Alexandria database: an optimized crystal structure of VPt2PbSe (PBE).

Cell: 5.0390 5.1573 5.0390 Å, 90.00 90.00 90.00°
With the nearest neighbours (Å) after each atom.
Sites, in units of the cell vectors:
Pb1 0.0000 0.0000 0.0000  4 Pt 2.52, 2 V 2.58
V1 0.0000 0.5000 0.0000  2 Pb 2.58
Pt1 0.0000 0.0000 0.5000  2 Pb 2.52
Pt2 0.5000 0.0000 0.0000  2 Pb 2.52
Se1 0.5000 0.5000 0.5000  4 V 3.56, 8 Pt 3.61

The density of states at the Fermi level comes out at 7.00 states/eV/f.u. As for the space group: No. 123. The total moment comes out at 0.8 μB per formula unit. The formation energy without anion corrections comes out at 1507 meV per atom.